SrNdPt3: relaxed, PBE-GGA.

Structure (CIF):
```
data_SrNdPt3
_symmetry_space_group_name_H-M 'P 1'
_symmetry_Int_Tables_number 1
_symmetry_space_group_name_Hall 'P 1'
_cell_length_a 5.182
_cell_length_b 5.182
_cell_length_c 5.182
_cell_angle_alpha 90.00
_cell_angle_beta 90.00
_cell_angle_gamma 90.00
loop_
_atom_site_label
_atom_site_type_symbol
_atom_site_fract_x
_atom_site_fract_y
_atom_site_fract_z
Sr1 Sr 0.000 0.000 0.000
Nd1 Nd 0.500 0.500 0.500
Pt1 Pt 0.000 0.000 0.500
Pt2 Pt 0.000 0.500 0.000
Pt3 Pt 0.500 0.000 0.000
```

Calculated values
- Mass density: 9.751 g/cm³
- Total DFT energy (no corrections): -4.381 eV/atom
- Symmetry: No. 221